TbSb6Pd12: relaxed, PBE.

a b c (Å): 7.595 7.595 7.595
angles (deg): 105.34 105.34 105.34
Fractional positions:
Tb 0.000 0.000 0.000
Sb 0.266 0.266 0.676
Sb 0.266 0.676 0.266
Sb 0.324 0.734 0.734
Sb 0.676 0.266 0.266
Sb 0.734 0.324 0.734
Sb 0.734 0.734 0.324
Pd 0.114 0.353 0.353
Pd 0.122 0.500 0.878
Pd 0.122 0.878 0.500
Pd 0.353 0.114 0.353
Pd 0.353 0.353 0.114
Pd 0.500 0.122 0.878
Pd 0.500 0.878 0.122
Pd 0.647 0.647 0.886
Pd 0.647 0.886 0.647
Pd 0.878 0.122 0.500
Pd 0.878 0.500 0.122
Pd 0.886 0.647 0.647

Summary:
* formation energy without anion corrections: -8.685 kcal/mol of atoms

---

PmAl5Ir: relaxed, PBE.

a b c (Å): 4.326 4.326 7.031
angles (deg): 90.00 90.00 90.00
Fractional positions:
Pm 0.000 0.000 0.000
Al 0.000 0.500 0.308
Al 0.000 0.500 0.692
Al 0.500 0.000 0.308
Al 0.500 0.000 0.692
Al 0.500 0.500 0.000
Ir 0.000 0.000 0.500

Summary:
* ΔE_f: -14.4 kcal/mol of atoms